(one)
## Dy2ThRh3 (PBE)

Data for an optimized crystal structure of Dy2ThRh3.

```
data_Dy2ThRh3
_chemical_formula_sum 'Dy8 Th4 Rh12'
_cell_length_a 13.956
_cell_length_b 5.611
_cell_length_c 6.888
_cell_angle_alpha 90.00
_cell_angle_beta 103.23
_cell_angle_gamma 90.00
_symmetry_space_group_name_H-M 'C 1 2/c 1'
_symmetry_Int_Tables_number 15
_symmetry_space_group_name_Hall '-C 2yc'
loop_
_atom_site_label
_atom_site_type_symbol
_atom_site_fract_x
_atom_site_fract_y
_atom_site_fract_z
Dy1 Dy 0.178 0.104 0.142
Th1 Th 0.000 0.377 0.750
Rh1 Rh 0.000 0.105 0.250
Rh2 Rh 0.159 0.399 0.509
```


(two)
## Dy2ThRh3 (PBE)

Data for an optimized crystal structure of Dy2ThRh3.

```
data_Dy2ThRh3
_chemical_formula_sum 'Dy2 Th1 Rh3'
_cell_length_a 4.9244
_cell_length_b 4.9244
_cell_length_c 6.0241
_cell_angle_alpha 90.00
_cell_angle_beta 90.00
_cell_angle_gamma 120.00
_symmetry_space_group_name_H-M 'P -3 m 1'
_symmetry_Int_Tables_number 164
_symmetry_space_group_name_Hall '-P 3 2"'
loop_
_atom_site_label
_atom_site_type_symbol
_atom_site_fract_x
_atom_site_fract_y
_atom_site_fract_z
Dy1 Dy 0.3333 0.6667 0.1553
Th1 Th 0.0000 0.0000 0.5000
Rh1 Rh 0.0000 0.0000 0.0000
Rh2 Rh 0.3333 0.6667 0.6521
```


Most stable pick: (two). Distance to second place: 3.6 kJ/mol of atoms.


(one)
## DyThRh2 (PBE)

Data for an optimized crystal structure of DyThRh2.

```
data_DyThRh2
_chemical_formula_sum 'Dy3 Th3 Rh6'
_cell_length_a 4.0357
_cell_length_b 4.0357
_cell_length_c 19.8421
_cell_angle_alpha 90.00
_cell_angle_beta 90.00
_cell_angle_gamma 120.00
_symmetry_space_group_name_H-M 'R -3 m'
_symmetry_Int_Tables_number 166
_symmetry_space_group_name_Hall '-R 3 2"'
loop_
_atom_site_label
_atom_site_type_symbol
_atom_site_fract_x
_atom_site_fract_y
_atom_site_fract_z
Dy1 Dy 0.0000 0.0000 0.0000
Th1 Th 0.0000 0.0000 0.5000
Rh1 Rh 0.0000 0.0000 0.2490
```


(two)
## DyThRh2 (PBE)

Data for an optimized crystal structure of DyThRh2.

```
data_DyThRh2
_chemical_formula_sum 'Dy2 Th2 Rh4'
_cell_length_a 4.254
_cell_length_b 3.850
_cell_length_c 10.801
_cell_angle_alpha 90.00
_cell_angle_beta 90.00
_cell_angle_gamma 90.00
_symmetry_space_group_name_H-M 'A m m 2'
_symmetry_Int_Tables_number 38
_symmetry_space_group_name_Hall 'A 2 -2'
loop_
_atom_site_label
_atom_site_type_symbol
_atom_site_fract_x
_atom_site_fract_y
_atom_site_fract_z
Dy1 Dy 0.000 0.000 0.000
Th1 Th 0.500 0.000 0.278
Rh1 Rh 0.000 0.000 0.729
Rh2 Rh 0.500 0.000 0.543
```


(three)
## DyThRh2 (PBE)

Data for an optimized crystal structure of DyThRh2.

```
data_DyThRh2
_chemical_formula_sum 'Dy4 Th4 Rh8'
_cell_length_a 5.662
_cell_length_b 5.643
_cell_length_c 11.501
_cell_angle_alpha 90.00
_cell_angle_beta 104.61
_cell_angle_gamma 90.00
_symmetry_space_group_name_H-M 'P 1 2/c 1'
_symmetry_Int_Tables_number 13
_symmetry_space_group_name_Hall '-P 2yc'
loop_
_atom_site_label
_atom_site_type_symbol
_atom_site_fract_x
_atom_site_fract_y
_atom_site_fract_z
Dy1 Dy 0.195 0.126 0.143
Th1 Th 0.305 0.371 0.862
Rh1 Rh 0.170 0.374 0.597
Rh2 Rh 0.330 0.128 0.409
```


Most stable pick: (two). Distance to second place: 1.7 kJ/mol of atoms.


(one)
## DyThRh2 (PBE)

Data for an optimized crystal structure of DyThRh2.

```
data_DyThRh2
_chemical_formula_sum 'Dy1 Th1 Rh2'
_cell_length_a 4.941
_cell_length_b 4.941
_cell_length_c 3.523
_cell_angle_alpha 90.00
_cell_angle_beta 90.00
_cell_angle_gamma 90.00
_symmetry_space_group_name_H-M 'P 4/m m m'
_symmetry_Int_Tables_number 123
_symmetry_space_group_name_Hall '-P 4 2'
loop_
_atom_site_label
_atom_site_type_symbol
_atom_site_fract_x
_atom_site_fract_y
_atom_site_fract_z
Dy1 Dy 0.000 0.000 0.000
Th1 Th 0.500 0.500 0.000
Rh1 Rh 0.000 0.500 0.500
```


(two)
## DyThRh2 (PBE)

Data for an optimized crystal structure of DyThRh2.

```
data_DyThRh2
_chemical_formula_sum 'Dy4 Th4 Rh8'
_cell_length_a 7.013
_cell_length_b 7.013
_cell_length_c 7.013
_cell_angle_alpha 90.00
_cell_angle_beta 90.00
_cell_angle_gamma 90.00
_symmetry_space_group_name_H-M 'F m -3 m'
_symmetry_Int_Tables_number 225
_symmetry_space_group_name_Hall '-F 4 2 3'
loop_
_atom_site_label
_atom_site_type_symbol
_atom_site_fract_x
_atom_site_fract_y
_atom_site_fract_z
Dy1 Dy 0.000 0.000 0.000
Th1 Th 0.000 0.000 0.500
Rh1 Rh 0.250 0.250 0.250
```


Most stable pick: (one). Distance to second place: 1.5 kJ/mol of atoms.


(one)
## DyTiRh2 (PBE)

Data for an optimized crystal structure of DyTiRh2.

```
data_DyTiRh2
_chemical_formula_sum 'Dy1 Ti1 Rh2'
_cell_length_a 4.685
_cell_length_b 4.685
_cell_length_c 3.187
_cell_angle_alpha 90.00
_cell_angle_beta 90.00
_cell_angle_gamma 90.00
_symmetry_space_group_name_H-M 'P 4/m m m'
_symmetry_Int_Tables_number 123
_symmetry_space_group_name_Hall '-P 4 2'
loop_
_atom_site_label
_atom_site_type_symbol
_atom_site_fract_x
_atom_site_fract_y
_atom_site_fract_z
Dy1 Dy 0.000 0.000 0.000
Ti1 Ti 0.500 0.500 0.000
Rh1 Rh 0.000 0.500 0.500
```


(two)
## DyTiRh2 (PBE)

Data for an optimized crystal structure of DyTiRh2.

```
data_DyTiRh2
_chemical_formula_sum 'Dy4 Ti4 Rh8'
_cell_length_a 6.535
_cell_length_b 6.535
_cell_length_c 6.535
_cell_angle_alpha 90.00
_cell_angle_beta 90.00
_cell_angle_gamma 90.00
_symmetry_space_group_name_H-M 'F m -3 m'
_symmetry_Int_Tables_number 225
_symmetry_space_group_name_Hall '-F 4 2 3'
loop_
_atom_site_label
_atom_site_type_symbol
_atom_site_fract_x
_atom_site_fract_y
_atom_site_fract_z
Dy1 Dy 0.000 0.000 0.000
Ti1 Ti 0.000 0.000 0.500
Rh1 Rh 0.250 0.250 0.250
```


Most stable pick: (two). Distance to second place: 1.8 kJ/mol of atoms.


(one)
## DyYTlRh (PBE)

Data for an optimized crystal structure of DyYTlRh.

```
data_DyYTlRh
_chemical_formula_sum 'Dy4 Y4 Tl4 Rh4'
_cell_length_a 7.241
_cell_length_b 7.241
_cell_length_c 7.241
_cell_angle_alpha 90.00
_cell_angle_beta 90.00
_cell_angle_gamma 90.00
_symmetry_space_group_name_H-M 'F -4 3 m'
_symmetry_Int_Tables_number 216
_symmetry_space_group_name_Hall 'F -4 2 3'
loop_
_atom_site_label
_atom_site_type_symbol
_atom_site_fract_x
_atom_site_fract_y
_atom_site_fract_z
Dy1 Dy 0.000 0.000 0.000
Y1 Y 0.000 0.000 0.500
Tl1 Tl 0.250 0.250 0.250
Rh1 Rh 0.250 0.250 0.750
```


(two)
## DyYTlRh (PBE)

Data for an optimized crystal structure of DyYTlRh.

```
data_DyYTlRh
_chemical_formula_sum 'Dy1 Y1 Tl1 Rh1'
_cell_length_a 3.543
_cell_length_b 3.543
_cell_length_c 7.597
_cell_angle_alpha 90.00
_cell_angle_beta 90.00
_cell_angle_gamma 90.00
_symmetry_space_group_name_H-M 'P 4 m m'
_symmetry_Int_Tables_number 99
_symmetry_space_group_name_Hall 'P 4 -2'
loop_
_atom_site_label
_atom_site_type_symbol
_atom_site_fract_x
_atom_site_fract_y
_atom_site_fract_z
Dy1 Dy 0.000 0.000 0.000
Y1 Y 0.000 0.000 0.432
Tl1 Tl 0.500 0.500 0.716
Rh1 Rh 0.500 0.500 0.212
```


Most stable pick: (two). Distance to second place: 11.0 kJ/mol of atoms.


(one)
## DyTm3Rh (PBE)

Data for an optimized crystal structure of DyTm3Rh.

```
data_DyTm3Rh
_chemical_formula_sum 'Dy1 Tm3 Rh1'
_cell_length_a 5.329
_cell_length_b 5.329
_cell_length_c 5.329
_cell_angle_alpha 90.00
_cell_angle_beta 90.00
_cell_angle_gamma 90.00
_symmetry_space_group_name_H-M 'P m -3 m'
_symmetry_Int_Tables_number 221
_symmetry_space_group_name_Hall '-P 4 2 3'
loop_
_atom_site_label
_atom_site_type_symbol
_atom_site_fract_x
_atom_site_fract_y
_atom_site_fract_z
Dy1 Dy 0.000 0.000 0.000
Tm1 Tm 0.000 0.500 0.500
Rh1 Rh 0.500 0.500 0.500
```


(two)
## DyTm3Rh (PBE)

Data for an optimized crystal structure of DyTm3Rh.

```
data_DyTm3Rh
_chemical_formula_sum 'Dy4 Tm12 Rh4'
_cell_length_a 11.611
_cell_length_b 8.424
_cell_length_c 7.948
_cell_angle_alpha 90.00
_cell_angle_beta 132.85
_cell_angle_gamma 90.00
_symmetry_space_group_name_H-M 'C 1 2/m 1'
_symmetry_Int_Tables_number 12
_symmetry_space_group_name_Hall '-C 2y'
loop_
_atom_site_label
_atom_site_type_symbol
_atom_site_fract_x
_atom_site_fract_y
_atom_site_fract_z
Dy1 Dy 0.052 0.000 0.338
Tm1 Tm 0.054 0.500 0.262
Tm2 Tm 0.246 0.302 0.786
Rh1 Rh 0.248 0.500 0.117
```


Most stable pick: (two). Distance to second place: 11.2 kJ/mol of atoms.